Record 1
VASP calculation (PBE) on an optimized crystal structure of RhSeCl2.

a b c (Å): 3.283 6.844 6.839
angles (deg): 43.15 90.00 90.00
Fractional coordinates of all 4 atoms:
Se (0.500, 0.750, 0.750)
Cl (0.000, 0.117, 0.117)
Rh (0.500, 0.250, 0.250)
Cl (0.000, 0.383, 0.383)

Output
Relative energy among the computed polymorphs: 0.1213 eV per atom
D(E_F): 0.48 states/eV per atom
Total energy: -15.5 eV per cell
SG: Cmmm
ΔE_f (raw): -0.24 eV per atom
Density: 4.0 Mg/m³

***

Record 2
VASP calculation (PBE) on an optimized crystal structure of HoCu2.

a b c (Å): 5.432 5.432 5.432
angles (deg): 133.58 102.23 95.66
Fractional coordinates of all 6 atoms:
Ho (0.707, 0.457, 0.250)
Cu (0.115, 0.165, 0.950)
Cu (0.284, 0.835, 0.450)
Ho (0.293, 0.543, 0.750)
Cu (0.716, 0.165, 0.550)
Cu (0.885, 0.835, 0.050)

Output
D(E_F): 0.54 states/eV per atom
Total energy: -27.2 eV per cell
SG: Imma
Density: 9.1 Mg/m³
Formation energy from the elements: -27.3 kJ/mol of atoms

***

Record 3
VASP calculation (PBE) on an optimized crystal structure of La4Bi2PSe.

a b c (Å): 4.488 7.818 7.779
angles (deg): 70.73 90.00 90.00
Fractional coordinates of all 8 atoms:
P (0.000, 0.500, 0.500)
La (0.000, 0.269, 0.251)
Se (0.500, 0.500, 0.000)
La (0.500, 0.273, 0.735)
Bi (0.000, 0.000, 0.000)
La (0.500, 0.727, 0.265)
Bi (0.500, 0.000, 0.500)
La (0.000, 0.731, 0.749)

Output
D(E_F): 0.29 states/eV per atom
Total energy: -47.7 eV per cell
SG: P2/m
ΔE_f (raw): -1.41 eV per atom
Density: 7.0 Mg/m³

***

Record 4
VASP calculation (PBE) on an optimized crystal structure of PaFe4Si.

a b c (Å): 3.855 5.967 7.427
angles (deg): 90.00 105.04 90.00
Each line ends with the local moment (μB).
Fractional coordinates of all 12 atoms:
Pa (0.872, 0.750, 0.745)  -0.45
Fe (0.056, 0.750, 0.113)  1.95
Fe (0.325, 0.044, 0.651)  0.79
Si (0.784, 0.250, 0.569)  -0.05
Pa (0.128, 0.250, 0.255)  -0.45
Fe (0.944, 0.250, 0.887)  1.95
Fe (0.675, 0.956, 0.349)  0.79
Si (0.216, 0.750, 0.431)  -0.05
Fe (0.500, 0.000, 0.000)  2.40
Fe (0.500, 0.500, 0.000)  2.40
Fe (0.675, 0.544, 0.349)  0.79
Fe (0.325, 0.456, 0.651)  0.79

Output
Relative energy among the computed polymorphs: 0.0000 eV per atom
D(E_F): 0.84 states/eV per atom
Total energy: -100.1 eV per cell
SG: Cmcm
ΔE_f (raw): -0.22 eV per atom
Density: 9.7 Mg/m³

***

Record 5
VASP calculation (PBE) on an optimized crystal structure of NbPt5Rh2.

a b c (Å): 6.801 6.801 7.363
angles (deg): 117.50 117.50 90.00
Fractional coordinates of all 16 atoms:
Pt (0.817, 0.015, 0.332)
Pt (0.183, 0.985, 0.668)
Rh (0.640, 0.140, 0.000)
Pt (0.015, 0.515, 0.332)
Pt (0.000, 0.000, 0.000)
Pt (0.317, 0.817, 0.332)
Nb (0.750, 0.750, 0.500)
Pt (0.985, 0.485, 0.668)
Rh (0.140, 0.360, 0.000)
Nb (0.250, 0.250, 0.500)
Pt (0.485, 0.683, 0.668)
Pt (0.683, 0.183, 0.668)
Rh (0.360, 0.860, 0.000)
Pt (0.515, 0.317, 0.332)
Pt (0.500, 0.500, 0.000)
Rh (0.860, 0.640, 0.000)

Output
D(E_F): 0.81 states/eV per atom
Total energy: -111.9 eV per cell
SG: I4/mcm
Density: 16.4 Mg/m³
Formation energy from the elements: -11.5 kJ/mol of atoms

***

Record 6
VASP calculation (PBE) on an optimized crystal structure of AcTm2Sb.

a b c (Å): 5.280 5.280 6.178
angles (deg): 64.70 64.70 60.00
Fractional coordinates of all 4 atoms:
Tm (0.783, 0.783, 0.652)
Sb (0.500, 0.500, 0.500)
Tm (0.217, 0.217, 0.348)
Ac (0.000, 0.000, 0.000)

Output
Relative energy among the computed polymorphs: 0.2909 eV per atom
D(E_F): 1.49 states/eV per atom
Total energy: -17.7 eV per cell
SG: R-3m
ΔE_f (raw): -0.13 eV per atom
Density: 8.8 Mg/m³